1.
A plane-wave DFT calculation with PBEsol was carried out for Sn9O4F10 after structural relaxation.

Unit cell a=7.784 b=10.214 c=10.214 alpha=90.00 beta=90.00 gamma=90.00
Sites, in units of the cell vectors:
Sn: 0.139 0.596 0.267
Sn: 0.645 0.572 0.340
Sn: 0.861 0.267 0.404
Sn: 0.355 0.340 0.428
Sn: 0.203 0.000 0.500
Sn: 0.355 0.660 0.572
Sn: 0.861 0.733 0.596
Sn: 0.645 0.428 0.660
Sn: 0.139 0.404 0.733
Sn: 0.861 0.096 0.767
Sn: 0.355 0.072 0.840
Sn: 0.139 0.767 0.904
Sn: 0.645 0.840 0.928
Sn: 0.797 0.500 0.000
Sn: 0.645 0.160 0.072
Sn: 0.139 0.233 0.096
Sn: 0.355 0.928 0.160
Sn: 0.861 0.904 0.233
O: 0.367 0.553 0.379
O: 0.633 0.379 0.447
O: 0.633 0.621 0.553
O: 0.367 0.447 0.621
O: 0.633 0.053 0.879
O: 0.367 0.879 0.947
O: 0.367 0.121 0.053
O: 0.633 0.947 0.121
F: 0.151 0.118 0.287
F: 0.697 0.128 0.307
F: 0.151 0.787 0.382
F: 0.697 0.807 0.372
F: 0.944 0.000 0.500
F: 0.000 0.500 0.500
F: 0.697 0.193 0.628
F: 0.151 0.213 0.618
F: 0.697 0.872 0.693
F: 0.151 0.882 0.713
F: 0.849 0.618 0.787
F: 0.303 0.628 0.807
F: 0.849 0.287 0.882
F: 0.303 0.307 0.872
F: 0.000 0.000 0.000
F: 0.056 0.500 0.000
F: 0.303 0.693 0.128
F: 0.849 0.713 0.118
F: 0.303 0.372 0.193
F: 0.849 0.382 0.213

Summary:
crystal system = tetragonal
E_tot = -241.465 eV for the cell shown
uncorrected formation energy = -1832 meV per atom
density of states at the Fermi level = 0.0000 states/eV/atom

2.
A plane-wave DFT calculation with PBEsol was carried out for Sn2OF5 after structural relaxation.

Unit cell a=5.692 b=5.692 c=8.206 alpha=98.83 beta=109.09 gamma=107.89
Sites, in units of the cell vectors:
Sn: 0.500 0.500 0.000
Sn: 0.000 0.500 0.500
Sn: 0.296 0.026 0.322
Sn: 0.704 0.974 0.678
O: 0.305 0.805 0.500
O: 0.695 0.195 0.500
F: 0.350 0.795 0.145
F: 0.650 0.205 0.855
F: 0.775 0.723 0.499
F: 0.225 0.277 0.501
F: 0.160 0.604 0.764
F: 0.840 0.396 0.236
F: 0.099 0.125 0.804
F: 0.321 0.295 0.196
F: 0.901 0.875 0.196
F: 0.679 0.705 0.804

Summary:
crystal system = monoclinic
E_tot = -83.480 eV for the cell shown
uncorrected formation energy = -2292 meV per atom
density of states at the Fermi level = 0.0000 states/eV/atom

3.
A plane-wave DFT calculation with PBEsol was carried out for Sn4OF6 after structural relaxation.

Unit cell a=4.993 b=10.419 c=15.858 alpha=90.00 beta=90.00 gamma=90.00
Sites, in units of the cell vectors:
Sn: 0.471 0.585 0.518
Sn: 0.971 0.915 0.482
Sn: 0.529 0.085 0.982
Sn: 0.029 0.415 0.018
Sn: 0.455 0.469 0.200
Sn: 0.955 0.031 0.800
Sn: 0.545 0.969 0.300
Sn: 0.045 0.531 0.700
Sn: 0.964 0.690 0.316
Sn: 0.464 0.810 0.684
Sn: 0.036 0.190 0.184
Sn: 0.536 0.310 0.816
Sn: 0.863 0.312 0.409
Sn: 0.363 0.188 0.591
Sn: 0.137 0.812 0.091
Sn: 0.637 0.688 0.909
O: 0.177 0.360 0.135
O: 0.677 0.140 0.865
O: 0.823 0.860 0.365
O: 0.323 0.640 0.635
F: 0.655 0.479 0.082
F: 0.155 0.021 0.918
F: 0.345 0.979 0.418
F: 0.845 0.521 0.582
F: 0.182 0.618 0.124
F: 0.682 0.882 0.876
F: 0.818 0.118 0.376
F: 0.318 0.382 0.624
F: 0.734 0.224 0.533
F: 0.234 0.276 0.467
F: 0.266 0.724 0.967
F: 0.766 0.776 0.033
F: 0.352 0.705 0.797
F: 0.852 0.795 0.203
F: 0.648 0.205 0.703
F: 0.148 0.295 0.297
F: 0.642 0.774 0.541
F: 0.142 0.726 0.459
F: 0.358 0.274 0.959
F: 0.858 0.226 0.041
F: 0.841 0.725 0.711
F: 0.341 0.775 0.289
F: 0.159 0.225 0.789
F: 0.659 0.275 0.211

Summary:
crystal system = orthorhombic
E_tot = -226.720 eV for the cell shown
uncorrected formation energy = -2075 meV per atom
density of states at the Fermi level = 0.0000 states/eV/atom